(1)
First-principles (GGA-PBE) data for a relaxed TaPSN2 crystal, as listed in Alexandria via LeMat-Bulk.

Properties
For the energy relative to the elements, uncorrected, the calculation gives 2.9 eV per formula unit. The value obtained for the spin magnetization is 0.32 μB per formula unit. The value obtained for the energy above the lowest structure with this stoichiometry is 0 meV per atom. As for the total energy: -0.2580 Ha/atom. The density comes out at 5.54 g/cm3. Its volume is 81 Å³ per cell.

a = 3.960 Å, b = 3.960 Å, c = 5.197 Å
α = 90.00°, β = 90.00°, γ = 90.00°
Last column: magnetic moment on the atom in μB.
Sites, in units of the cell vectors:
1 P 0.500 0.500 0.500  0.40
2 S 0.000 0.000 0.500  -0.02
3 N 0.000 0.500 0.000  -0.20
4 N 0.500 0.000 0.000  -0.20
5 Ta 0.000 0.000 0.000  0.06

---

(2)
First-principles (GGA-PBE) data for a relaxed TaPSN2 crystal, as listed in Alexandria via LeMat-Bulk.

Properties
For the energy relative to the elements, uncorrected, the calculation gives 3.9 eV per formula unit. The value obtained for the spin magnetization is 0.00 μB per formula unit. The value obtained for the energy above the lowest structure with this stoichiometry is 197 meV per atom. As for the total energy: -0.2508 Ha/atom. The density comes out at 8.03 g/cm3. Its volume is 56 Å³ per cell.

a = 3.628 Å, b = 3.628 Å, c = 4.274 Å
α = 90.00°, β = 90.00°, γ = 90.00°
Sites, in units of the cell vectors:
1 P 0.000 0.000 0.000
2 S 0.000 0.000 0.500
3 N 0.000 0.500 0.000
4 N 0.500 0.000 0.000
5 Ta 0.500 0.500 0.500

---

(3)
First-principles (GGA-PBE) data for a relaxed TaP2SN crystal, as listed in Alexandria via LeMat-Bulk.

Properties
For the energy relative to the elements, uncorrected, the calculation gives 3.3 eV per formula unit. The value obtained for the spin magnetization is 0.00 μB per formula unit. The value obtained for the energy above the lowest structure with this stoichiometry is 0 meV per atom. As for the total energy: -0.2337 Ha/atom. The density comes out at 7.32 g/cm3. Its volume is 66 Å³ per cell.

a = 3.958 Å, b = 3.958 Å, c = 4.186 Å
α = 90.00°, β = 90.00°, γ = 90.00°
Sites, in units of the cell vectors:
1 P 0.000 0.500 0.000
2 P 0.500 0.000 0.000
3 S 0.000 0.000 0.500
4 N 0.000 0.000 0.000
5 Ta 0.500 0.500 0.500

---

(4)
First-principles (GGA-PBE) data for a relaxed Tb8P3S3N crystal, as listed in Alexandria via LeMat-Bulk.

Properties
For the energy relative to the elements, uncorrected, the calculation gives -24.9 eV per formula unit. The value obtained for the spin magnetization is 0.00 μB per formula unit. As for the total energy: -0.2422 Ha/atom. The density comes out at 7.16 g/cm3. Its volume is 342 Å³ per cell.

a = 7.862 Å, b = 7.862 Å, c = 7.834 Å
α = 120.11°, β = 90.00°, γ = 120.00°
Sites, in units of the cell vectors:
1 Tb 0.248 0.496 0.243
2 Tb 0.752 0.504 0.757
3 Tb 0.771 0.541 0.268
4 Tb 0.229 0.459 0.732
5 Tb 0.771 0.997 0.268
6 Tb 0.229 0.003 0.732
7 Tb 0.226 0.997 0.268
8 Tb 0.774 0.003 0.732
9 P 0.000 0.000 0.000
10 P 0.000 0.500 0.000
11 P 0.500 0.500 0.000
12 S 0.500 0.000 0.500
13 S 0.500 0.500 0.500
14 S 0.000 0.500 0.500
15 N 0.000 0.000 0.500

---

(5)
First-principles (GGA-PBE) data for a relaxed TcPS2N crystal, as listed in Alexandria via LeMat-Bulk.

Properties
For the energy relative to the elements, uncorrected, the calculation gives 3.3 eV per formula unit. The value obtained for the spin magnetization is 0.00 μB per formula unit. The value obtained for the energy above the lowest structure with this stoichiometry is 0 meV per atom. As for the total energy: -0.2135 Ha/atom. The density comes out at 4.12 g/cm3. Its volume is 84 Å³ per cell.

a = 4.762 Å, b = 4.762 Å, c = 3.685 Å
α = 90.00°, β = 90.00°, γ = 90.00°
Sites, in units of the cell vectors:
1 P 0.500 0.500 0.500
2 S 0.000 0.500 0.000
3 S 0.500 0.000 0.000
4 Tc 0.000 0.000 0.000
5 N 0.000 0.000 0.500

---

(6)
First-principles (GGA-PBE) data for a relaxed TcP2SN crystal, as listed in Alexandria via LeMat-Bulk.

Properties
For the energy relative to the elements, uncorrected, the calculation gives 7.8 eV per formula unit. The value obtained for the spin magnetization is 0.00 μB per formula unit. The value obtained for the energy above the lowest structure with this stoichiometry is 640 meV per atom. As for the total energy: -0.1898 Ha/atom. The density comes out at 3.66 g/cm3. Its volume is 93 Å³ per cell.

a = 4.626 Å, b = 4.626 Å, c = 4.368 Å
α = 90.00°, β = 90.00°, γ = 90.00°
Sites, in units of the cell vectors:
1 P 0.000 0.500 0.000
2 P 0.500 0.000 0.000
3 S 0.000 0.000 0.500
4 Tc 0.000 0.000 0.000
5 N 0.500 0.500 0.500